Compound: Tl2CuBr
Source: Alexandria via LeMat-Bulk
Functional: GGA-PBE
Structure: relaxed

```
8
Lattice="-3.2900 3.2900 6.9702 3.2900 -3.2900 6.9702 3.2900 3.2900 -6.9702" Properties=species:S:1:pos:R:3 pbc="T T T"
Tl 4.9350 1.1837 -1.7426
Tl 1.1837 1.6450 1.7426
Tl -1.6450 2.1064 5.2277
Tl 2.1064 1.6450 8.7128
Cu 0.0000 0.0000 0.0000
Cu 0.0000 3.2900 3.4851
Br 3.2900 0.0000 3.4851
Br 0.0000 0.0000 6.9702
```

Properties
ΔE_f (raw) in eV/atom: -0.021